The following is a DFT calculation (PBE-GGA) of a relaxed structure of Ce2CuSn4Pt3.

Properties
N(E_F) ... 1.541 states/eV per atom
Formation energy from the elements ... -0.705 eV per atom
Calculated density ... 10.357 g cm⁻³

The structure in CIF format:
```
data_Ce2CuSn4Pt3
_chemical_formula_sum 'Ce2 Cu1 Sn4 Pt3'
_cell_length_a 4.5735
_cell_length_b 4.5735
_cell_length_c 10.7608
_cell_angle_alpha 90.00
_cell_angle_beta 90.00
_cell_angle_gamma 90.00
_space_group_name_H-M_alt 'P 1'
_space_group_IT_number 1
loop_
_space_group_symop_operation_xyz
'x,y,z'
loop_
_atom_site_label
_atom_site_fract_x
_atom_site_fract_y
_atom_site_fract_z
Ce1 0.0000 0.5000 0.2367
Ce2 0.5000 0.0000 0.7633
Cu1 0.5000 0.5000 0.0000
Sn1 0.0000 0.0000 0.5000
Sn2 0.0000 0.5000 0.8736
Sn3 0.5000 0.0000 0.1264
Sn4 0.5000 0.5000 0.5000
Pt1 0.0000 0.0000 0.0000
Pt2 0.0000 0.5000 0.6316
Pt3 0.5000 0.0000 0.3684
```